The following is a DFT calculation (PBE) of an optimized crystal structure of K2RbVI6.

Lattice parameters (Å, degrees): 8.837 8.837 8.837 58.16 58.16 58.16
Fractional positions:
K1 0.000 0.000 0.000
K2 0.488 0.488 0.488
Rb1 0.203 0.203 0.203
V1 0.694 0.694 0.694
I1 0.017 0.481 0.802
I2 0.368 0.892 0.597
I3 0.481 0.802 0.017
I4 0.597 0.368 0.892
I5 0.802 0.017 0.481
I6 0.892 0.597 0.368

Computed properties:
Energy relative to the elements, uncorrected ... -1.02 eV/atom
Energy ... -3.178 eV/atom
Density ... 3.5 Mg/m³
Space-group type ... R3, No. 146
Magnetization ... 2.00 μB per formula unit